Entry 1:
Below is a relaxed ZnCuP2O7 crystal, with properties calculated at the PBE-GGA level.

Cell lengths 5.4334, 6.3817, 7.6483 Å; angles 81.06, 89.06, 71.94 degrees
With the nearest neighbours (Å) after each atom.
Space group P-1 (No. 2)
Asymmetric unit:
Zn 0.1705 0.3412 0.3578 x2  5 O 2.03-2.21
Cu 0.2200 0.8427 0.8252 x2  4 O 1.95-2.03
P 0.2774 0.8013 0.3810 x2  4 O 1.51-1.60
P 0.3224 0.3106 0.9059 x2  4 O 1.51-1.61
O 0.1059 0.0469 0.3217 x2  1 P 1.56
O 0.1082 0.6489 0.4266 x2  1 P 1.53
O 0.1441 0.5490 0.8315 x2  1 P 1.55
O 0.1959 0.1339 0.8892 x2  1 P 1.51
O 0.4180 0.7252 0.2050 x2  2 P 1.60-1.61
O 0.4193 0.3029 0.0965 x2  1 P 1.55
O 0.4695 0.7849 0.5272 x2  1 P 1.51

Magnetic moment, μB per cell: 2.0
Raw total energy, eV per cell: -140.70
Distance to the lowest polymorph of the same formula, meV per atom: 2

Entry 2:
Below is a relaxed ZnCuP2O crystal, with properties calculated at the PBE-GGA level.

Cell lengths 4.7471, 4.7471, 3.4967 Å; angles 90.00, 90.00, 90.00 degrees
With the nearest neighbours (Å) after each atom.
Space group P4/mmm (No. 123)
Asymmetric unit:
Zn 0.0000 0.0000 0.0000 x1  8 P 2.95
Cu 0.5000 0.5000 0.5000 x1  2 O 1.75
P 0.0000 0.5000 0.5000 x2  2 Cu 2.37
O 0.5000 0.5000 0.0000 x1  2 Cu 1.75

Magnetic moment, μB per cell: 0.0
Raw total energy, eV per cell: -18.62
Distance to the lowest polymorph of the same formula, meV per atom: 0

Which of these has the lowest magnetic moment?
ZnCuP2O

Look up the distance to the lowest polymorph of the same formula of the second one.
0 meV per atom

Among the records above, which one has the highest raw total energy?
ZnCuP2O